Record 1
## ZrPa2CuN5 (PBE)

Data for a relaxed ZrPa2CuN5 crystal.

Properties
The calculation puts the raw total energy at -9.28 eV/atom. The formation energy without anion corrections is -1145 meV per atom. For the magnetic moment, the calculation gives 0.00 μB/f.u.

Cell lengths 3.3350, 6.8191, 10.2632 Å; angles 90.00, 90.00, 104.15 degrees
Atoms (fractional coordinates):
Pa: 0.8719 0.7439 0.7946
Pa: 0.8776 0.7552 0.1763
Pa: 0.1224 0.2448 0.6763
Pa: 0.1281 0.2561 0.2946
N: 0.3019 0.6037 0.3405
N: 0.9606 0.9211 0.5798
N: 0.2944 0.5889 0.6535
N: 0.3518 0.7036 0.0143
N: 0.5081 0.0161 0.2879
N: 0.0394 0.0789 0.0798
N: 0.6981 0.3963 0.8405
N: 0.7056 0.4111 0.1535
N: 0.4919 0.9839 0.7879
N: 0.6482 0.2964 0.5143
Zr: 0.1877 0.3755 0.9948
Zr: 0.8123 0.6245 0.4948
Cu: 0.4948 0.9897 0.4823
Cu: 0.5052 0.0103 0.9823

---

Record 2
## Cu2PbN (PBE)

Data for a relaxed Cu2PbN crystal.

Properties
The calculation puts the raw total energy at -4.71 eV/atom. The formation energy without anion corrections is 345 meV per atom. For the magnetic moment, the calculation gives 0.00 μB/f.u. For the energy relative to the lowest polymorph listed for this composition, the calculation gives 0.000 eV/atom.

Cell lengths 5.1614, 5.1614, 6.4230 Å; angles 66.31, 66.31, 90.00 degrees
Atoms (fractional coordinates):
N: 0.5000 0.5000 0.0000
N: 0.2500 0.7500 0.5000
Cu: 0.3757 0.6250 0.2500
Cu: 0.8750 0.6243 0.7500
Cu: 0.3743 0.1250 0.2500
Cu: 0.3750 0.6257 0.7500
Pb: 0.0000 0.0000 0.0000
Pb: 0.7500 0.2500 0.5000

---

Record 3
## CuPbN2 (PBE)

Data for a relaxed CuPbN2 crystal.

Properties
The calculation puts the raw total energy at -4.94 eV/atom. The formation energy without anion corrections is 1170 meV per atom. For the magnetic moment, the calculation gives 0.00 μB/f.u.

Cell lengths 6.7270, 6.7270, 6.7270 Å; angles 27.24, 27.24, 27.24 degrees
Atoms (fractional coordinates):
N: 0.8778 0.8778 0.8778
N: 0.1222 0.1222 0.1222
Pb: 0.0000 0.0000 0.0000
Cu: 0.5000 0.5000 0.5000

---

Record 4
## Cu2PbN (PBE)

Data for a relaxed Cu2PbN crystal.

Properties
The calculation puts the raw total energy at -3.95 eV/atom. The formation energy without anion corrections is 1105 meV per atom. For the magnetic moment, the calculation gives 0.00 μB/f.u. For the energy relative to the lowest polymorph listed for this composition, the calculation gives 0.760 eV/atom.

Cell lengths 4.3687, 4.3687, 4.3687 Å; angles 60.00, 60.00, 60.00 degrees
Atoms (fractional coordinates):
N: 0.0000 0.0000 0.0000
Cu: 0.2500 0.2500 0.2500
Cu: 0.7500 0.7500 0.7500
Pb: 0.5000 0.5000 0.5000

---

Record 5
## CuPb3N (PBE)

Data for a relaxed CuPb3N crystal.

Properties
The calculation puts the raw total energy at -3.97 eV/atom. The formation energy without anion corrections is 740 meV per atom. For the magnetic moment, the calculation gives 0.00 μB/f.u. For the energy relative to the lowest polymorph listed for this composition, the calculation gives 0.000 eV/atom.

Cell lengths 4.9717, 4.9717, 4.9717 Å; angles 90.00, 90.00, 90.00 degrees
Atoms (fractional coordinates):
N: 0.0000 0.0000 0.0000
Cu: 0.5000 0.5000 0.5000
Pb: 0.5000 0.0000 0.0000
Pb: 0.0000 0.0000 0.5000
Pb: 0.0000 0.5000 0.0000

---

Record 6
## CuPbN2 (PBE)

Data for a relaxed CuPbN2 crystal.

Properties
The calculation puts the raw total energy at -5.18 eV/atom. The formation energy without anion corrections is 932 meV per atom. For the magnetic moment, the calculation gives 0.00 μB/f.u.

Cell lengths 6.2809, 6.2809, 6.2809 Å; angles 32.31, 32.31, 32.31 degrees
Atoms (fractional coordinates):
Pb: 0.5000 0.5000 0.5000
Cu: 0.0000 0.0000 0.0000
N: 0.8996 0.8996 0.8996
N: 0.1004 0.1004 0.1004

---

Record 7
## Cu3PbN (PBE)

Data for a relaxed Cu3PbN crystal.

Properties
The calculation puts the raw total energy at -4.42 eV/atom. The formation energy without anion corrections is 449 meV per atom. For the magnetic moment, the calculation gives 0.00 μB/f.u. For the energy relative to the lowest polymorph listed for this composition, the calculation gives 0.000 eV/atom.

Cell lengths 4.1435, 4.1435, 4.1435 Å; angles 90.00, 90.00, 90.00 degrees
Atoms (fractional coordinates):
Cu: 0.0000 0.5000 0.0000
Cu: 0.5000 0.0000 0.0000
Cu: 0.0000 0.0000 0.5000
Pb: 0.5000 0.5000 0.5000
N: 0.0000 0.0000 0.0000

---

Record 8
## Cu3PbN (PBE)

Data for a relaxed Cu3PbN crystal.

Properties
The calculation puts the raw total energy at -2.72 eV/atom. The formation energy without anion corrections is 2142 meV per atom. For the magnetic moment, the calculation gives 0.00 μB/f.u. For the energy relative to the lowest polymorph listed for this composition, the calculation gives 1.693 eV/atom.

Cell lengths 4.9036, 4.9036, 4.9036 Å; angles 90.00, 90.00, 90.00 degrees
Atoms (fractional coordinates):
Pb: 0.0000 0.0000 0.0000
Cu: 0.5000 0.0000 0.0000
Cu: 0.0000 0.0000 0.5000
Cu: 0.0000 0.5000 0.0000
N: 0.5000 0.5000 0.5000